Compound: BaMo2Cl
Source: Alexandria
Functional: PBE
Structure: relaxed

Cell: 6.1006 6.1006 6.1006 Å, 147.78 115.93 73.54°
Last column: nearest neighbours and their distance in Å.
Fractional positions:
Ba: 0.4835 0.4835 0.0000  2 Cl 3.19, 2 Ba 3.39
Cl: 0.2070 0.7070 0.5000  2 Mo 2.72
Mo: 0.9890 0.9890 0.0000  2 Mo 2.36
Mo: 0.8205 0.3205 0.5000  2 Mo 2.36

Properties
total energy	-23.53	eV for the cell shown
M_tot	0.69	μB per cell
ΔE_f (raw)	475	meV per atom
offset from the most stable computed form	0.451	eV per atom